1.
Computed, not measured: a relaxed ScSiNiIr crystal at the PBE level of DFT.

Results
The space group is No. 216. Its calculated total energy is -6.812 eV per atom.

Unit cell a=4.361 b=4.361 c=4.361 alpha=60.00 beta=60.00 gamma=60.00
Element x y z (fractional)
Sc 0.000 0.000 0.000
Si 0.250 0.250 0.250
Ni 0.500 0.500 0.500
Ir 0.750 0.750 0.750

=====

2.
Computed, not measured: a relaxed ScNiSnIr crystal at the PBE level of DFT.

Results
The space group is No. 216. Its calculated total energy is -6.435 eV per atom.

Unit cell a=4.547 b=4.547 c=4.547 alpha=60.00 beta=60.00 gamma=60.00
Element x y z (fractional)
Sc 0.000 0.000 0.000
Ni 0.500 0.500 0.500
Sn 0.250 0.250 0.250
Ir 0.750 0.750 0.750

=====

3.
Computed, not measured: a relaxed Sc3NiSn3Ir2 crystal at the PBE level of DFT.

Results
The space group is No. 189. Its calculated total energy is -6.816 eV per atom.

Unit cell a=7.570 b=7.570 c=3.341 alpha=90.00 beta=90.00 gamma=120.00
Element x y z (fractional)
Sc 0.000 0.395 0.000
Sc 0.395 0.000 0.000
Sc 0.605 0.605 0.000
Ni 0.000 0.000 0.000
Sn 0.000 0.732 0.500
Sn 0.268 0.268 0.500
Sn 0.732 0.000 0.500
Ir 0.333 0.667 0.500
Ir 0.667 0.333 0.500

=====

4.
Computed, not measured: a relaxed Tb2ScNiSn3Ir2 crystal at the PBE level of DFT.

Results
The space group is No. 38. Its calculated total energy is -6.422 eV per atom.

Unit cell a=3.681 b=7.544 c=7.544 alpha=119.74 beta=90.00 gamma=90.00
Element x y z (fractional)
Tb 0.000 0.203 0.797
Tb 0.000 0.797 0.203
Sc 0.000 0.391 0.391
Ni 0.000 0.794 0.794
Sn 0.500 0.058 0.058
Sn 0.500 0.539 0.791
Sn 0.500 0.791 0.539
Ir 0.500 0.139 0.461
Ir 0.500 0.461 0.139